1.
Density functional theory data (PBE) for BiBN2O after structural relaxation.

total magnetic moment	2.25	μB per cell
formation energy (no corrections)	208	kJ per mole of atoms
density of states at the Fermi level	1.41	states/eV/f.u.

Cell lengths 4.4071, 4.4071, 4.2463 Å; angles 90.00, 90.00, 90.00 degrees
Last column: nearest neighbours and their distance in Å.
Space group P4/mmm (No. 123)
Symmetry-distinct sites (fractional):
Bi (0.0000, 0.0000, 0.0000) (multiplicity 1)  2 O 2.12, 4 N 2.20
B (0.5000, 0.5000, 0.5000) (multiplicity 1)  8 N 3.06, 4 O 3.12
N (0.0000, 0.5000, 0.0000) (multiplicity 2)  2 Bi 2.20
O (0.0000, 0.0000, 0.5000) (multiplicity 1)  2 Bi 2.12

***

2.
Density functional theory data (PBE) for BiBTe2N after structural relaxation.

total magnetic moment	2.01	μB per cell
formation energy (no corrections)	185	kJ per mole of atoms
density of states at the Fermi level	5.34	states/eV/f.u.

Cell lengths 5.9855, 5.9855, 4.3897 Å; angles 90.00, 90.00, 90.00 degrees
Last column: nearest neighbours and their distance in Å.
Space group P4/mmm (No. 123)
Symmetry-distinct sites (fractional):
Bi (0.0000, 0.0000, 0.0000) (multiplicity 1)  2 N 2.19
B (0.5000, 0.5000, 0.5000) (multiplicity 1)  8 Te 3.71
Te (0.0000, 0.5000, 0.0000) (multiplicity 2)  2 Bi 2.99
N (0.0000, 0.0000, 0.5000) (multiplicity 1)  2 Bi 2.19

***

3.
Density functional theory data (PBE) for BiBTe2N after structural relaxation.

total magnetic moment	0.00	μB per cell
formation energy (no corrections)	20	kJ per mole of atoms
density of states at the Fermi level	3.70	states/eV/f.u.

Cell lengths 6.8816, 6.8816, 2.7832 Å; angles 90.00, 90.00, 90.00 degrees
Last column: nearest neighbours and their distance in Å.
Space group P4/mmm (No. 123)
Symmetry-distinct sites (fractional):
Bi (0.0000, 0.0000, 0.0000) (multiplicity 1)  2 Bi 2.78
B (0.5000, 0.5000, 0.5000) (multiplicity 1)  2 N 1.39
Te (0.0000, 0.5000, 0.5000) (multiplicity 2)  2 Te 2.78
N (0.5000, 0.5000, 0.0000) (multiplicity 1)  2 B 1.39

***

4.
Density functional theory data (PBE) for V2BiBN after structural relaxation.

total magnetic moment	1.21	μB per cell
formation energy (no corrections)	59	kJ per mole of atoms
density of states at the Fermi level	4.74	states/eV/f.u.

Cell lengths 3.9196, 3.9196, 4.6077 Å; angles 90.00, 90.00, 90.00 degrees
Last column: nearest neighbours and their distance in Å.
Space group P4/mmm (No. 123)
Symmetry-distinct sites (fractional):
V (0.0000, 0.5000, 0.0000) (multiplicity 2)  2 N 1.96
Bi (0.0000, 0.0000, 0.5000) (multiplicity 1)  4 B 2.77, 8 V 3.02
B (0.5000, 0.5000, 0.5000) (multiplicity 1)  2 N 2.30
N (0.5000, 0.5000, 0.0000) (multiplicity 1)  4 V 1.96

***

5.
Density functional theory data (PBE) for Na3BiB after structural relaxation.

ΔH_f (0 K)	0.9587	eV/atom
total magnetic moment	1.00	μB per cell
density of states at the Fermi level	4.87	states/eV/f.u.

Cell lengths 5.9403, 5.9403, 5.9403 Å; angles 90.00, 90.00, 90.00 degrees
Last column: nearest neighbours and their distance in Å.
Space group Pm-3m (No. 221)
Symmetry-distinct sites (fractional):
Na (0.0000, 0.0000, 0.5000) (multiplicity 3)  2 Bi 2.97
Bi (0.0000, 0.0000, 0.0000) (multiplicity 1)  6 Na 2.97
B (0.5000, 0.5000, 0.5000) (multiplicity 1)  12 Na 4.20

***

6.
Density functional theory data (PBE) for NaBi3B after structural relaxation.

ΔH_f (0 K)	1.5287	eV/atom
total magnetic moment	0.00	μB per cell
density of states at the Fermi level	4.34	states/eV/f.u.

Cell lengths 5.4834, 5.4834, 5.4834 Å; angles 90.00, 90.00, 90.00 degrees
Last column: nearest neighbours and their distance in Å.
Space group Pm-3m (No. 221)
Symmetry-distinct sites (fractional):
Na (0.0000, 0.0000, 0.0000) (multiplicity 1)  6 Bi 2.74
Bi (0.0000, 0.0000, 0.5000) (multiplicity 3)  2 Na 2.74
B (0.5000, 0.5000, 0.5000) (multiplicity 1)  12 Bi 3.88

***

7.
Density functional theory data (PBE) for NaBiB3 after structural relaxation.

ΔH_f (0 K)	2.4767	eV/atom
total magnetic moment	0.00	μB per cell
density of states at the Fermi level	3.27	states/eV/f.u.

Cell lengths 4.4844, 4.4844, 4.4844 Å; angles 90.00, 90.00, 90.00 degrees
Last column: nearest neighbours and their distance in Å.
Space group Pm-3m (No. 221)
Symmetry-distinct sites (fractional):
Na (0.0000, 0.0000, 0.0000) (multiplicity 1)  6 B 2.24
Bi (0.5000, 0.5000, 0.5000) (multiplicity 1)  12 B 3.17
B (0.0000, 0.0000, 0.5000) (multiplicity 3)  2 Na 2.24

***

8.
Density functional theory data (PBE) for NaBiB2 after structural relaxation.

ΔH_f (0 K)	1.4652	eV/atom
total magnetic moment	0.00	μB per cell
density of states at the Fermi level	2.54	states/eV/f.u.

Cell lengths 7.1257, 7.1257, 6.0247 Å; angles 90.00, 90.00, 90.00 degrees
Last column: nearest neighbours and their distance in Å.
Space group I-42d (No. 122)
Symmetry-distinct sites (fractional):
Na (0.0000, 0.0000, 0.0000) (multiplicity 4)  4 B 2.83, 2 Bi 3.01
Bi (0.0000, 0.0000, 0.5000) (multiplicity 4)  4 B 2.45
B (0.2104, 0.2500, 0.6250) (multiplicity 8)  2 Bi 2.45

***

9.
Density functional theory data (PBE) for NaBiB after structural relaxation.

ΔH_f (0 K)	0.1346	eV/atom
total magnetic moment	0.00	μB per cell
density of states at the Fermi level	1.30	states/eV/f.u.

Cell lengths 14.3707, 3.2082, 6.2216 Å; angles 90.00, 99.23, 90.00 degrees
Last column: nearest neighbours and their distance in Å.
Space group C2/m (No. 12)
Symmetry-distinct sites (fractional):
Na (0.1144, 0.0000, 0.2194) (multiplicity 4)  3 B 2.63-2.95
Bi (0.0917, 0.5000, 0.6939) (multiplicity 4)  1 B 2.59
B (0.2404, 0.5000, 0.9907) (multiplicity 4)  2 B 1.63

***

10.
Density functional theory data (PBE) for NaBiB3 after structural relaxation.

ΔH_f (0 K)	2.1847	eV/atom
total magnetic moment	0.00	μB per cell
density of states at the Fermi level	2.82	states/eV/f.u.

Cell lengths 4.8697, 4.8697, 4.8697 Å; angles 90.00, 90.00, 90.00 degrees
Last column: nearest neighbours and their distance in Å.
Space group Pm-3m (No. 221)
Symmetry-distinct sites (fractional):
Na (0.0000, 0.0000, 0.0000) (multiplicity 1)  12 B 3.44
Bi (0.5000, 0.5000, 0.5000) (multiplicity 1)  6 B 2.43
B (0.0000, 0.5000, 0.5000) (multiplicity 3)  2 Bi 2.43

***

11.
Density functional theory data (PBE) for NaBi3B after structural relaxation.

ΔH_f (0 K)	0.5553	eV/atom
total magnetic moment	0.00	μB per cell
density of states at the Fermi level	2.98	states/eV/f.u.

Cell lengths 5.1894, 5.1894, 5.1894 Å; angles 90.00, 90.00, 90.00 degrees
Last column: nearest neighbours and their distance in Å.
Space group Pm-3m (No. 221)
Symmetry-distinct sites (fractional):
Na (0.0000, 0.0000, 0.0000) (multiplicity 1)  12 Bi 3.67
Bi (0.0000, 0.5000, 0.5000) (multiplicity 3)  2 B 2.59
B (0.5000, 0.5000, 0.5000) (multiplicity 1)  6 Bi 2.59

***

12.
Density functional theory data (PBE) for NaBi2B after structural relaxation.

ΔH_f (0 K)	0.3799	eV/atom
total magnetic moment	0.00	μB per cell
density of states at the Fermi level	0.05	states/eV/f.u.

Cell lengths 7.7418, 7.7418, 6.6404 Å; angles 90.00, 90.00, 90.00 degrees
Last column: nearest neighbours and their distance in Å.
Space group I-42d (No. 122)
Symmetry-distinct sites (fractional):
Na (0.0000, 0.0000, 0.0000) (multiplicity 4)  8 Bi 3.32-3.41, 2 B 3.32
Bi (0.1690, 0.2500, 0.6250) (multiplicity 8)  2 B 2.48
B (0.0000, 0.0000, 0.5000) (multiplicity 4)  4 Bi 2.48

***

13.
Density functional theory data (PBE) for Na3BiB after structural relaxation.

ΔH_f (0 K)	0.6558	eV/atom
total magnetic moment	0.99	μB per cell
density of states at the Fermi level	1.73	states/eV/f.u.

Cell lengths 5.1308, 5.1308, 5.1308 Å; angles 90.00, 90.00, 90.00 degrees
Last column: nearest neighbours and their distance in Å.
Space group Pm-3m (No. 221)
Symmetry-distinct sites (fractional):
Na (0.0000, 0.0000, 0.5000) (multiplicity 3)  2 B 2.57
Bi (0.5000, 0.5000, 0.5000) (multiplicity 1)  12 Na 3.63
B (0.0000, 0.0000, 0.0000) (multiplicity 1)  6 Na 2.57

***

14.
Density functional theory data (PBE) for NaNbBi2B after structural relaxation.

ΔH_f (0 K)	0.5588	eV/atom
total magnetic moment	0.00	μB per cell
density of states at the Fermi level	3.33	states/eV/f.u.

Cell lengths 5.5353, 5.5353, 4.5293 Å; angles 90.00, 90.00, 90.00 degrees
Last column: nearest neighbours and their distance in Å.
Space group P4/mmm (No. 123)
Symmetry-distinct sites (fractional):
Na (0.0000, 0.0000, 0.0000) (multiplicity 1)  8 Bi 3.58, 4 B 3.91
Nb (0.5000, 0.5000, 0.5000) (multiplicity 1)  2 B 2.26
Bi (0.0000, 0.5000, 0.5000) (multiplicity 2)  2 Nb 2.77
B (0.5000, 0.5000, 0.0000) (multiplicity 1)  2 Nb 2.26

***

15.
Density functional theory data (PBE) for Na2BiB2O6 after structural relaxation.

total magnetic moment	0.93	μB per cell
formation energy (no corrections)	-179	kJ per mole of atoms
density of states at the Fermi level	3.10	states/eV/f.u.

Cell lengths 5.2960, 5.2960, 6.2191 Å; angles 90.00, 90.00, 120.00 degrees
Last column: nearest neighbours and their distance in Å.
Space group P-3 (No. 147)
Symmetry-distinct sites (fractional):
Na (0.3333, 0.6667, 0.3562) (multiplicity 2)  3 O 2.28
Bi (0.0000, 0.0000, 0.0000) (multiplicity 1)  6 O 2.30
B (0.3333, 0.6667, 0.7995) (multiplicity 2)  3 O 1.39
O (0.0886, 0.6972, 0.7867) (multiplicity 6)  1 B 1.39

***

16.
Density functional theory data (PBE) for Na3BiB2O6 after structural relaxation.

total magnetic moment	0.00	μB per cell
formation energy (no corrections)	-190	kJ per mole of atoms
density of states at the Fermi level	0.00	states/eV/f.u.

Cell lengths 9.5958, 6.5354, 10.6310 Å; angles 90.00, 113.96, 90.00 degrees
Last column: nearest neighbours and their distance in Å.
Space group P2_1/c (No. 14)
Symmetry-distinct sites (fractional):
Na (0.0706, 0.2269, 0.0157) (multiplicity 4)  3 O 2.25-2.40
Na (0.2262, 0.5949, 0.1594) (multiplicity 4)  4 O 2.29-2.51
Na (0.2980, 0.5981, 0.4781) (multiplicity 4)  4 O 2.27-2.44
Bi (0.3130, 0.0869, 0.3436) (multiplicity 4)  5 O 2.31-2.49
B (0.0189, 0.5969, 0.7713) (multiplicity 4)  3 O 1.39-1.42
B (0.4792, 0.2279, 0.1990) (multiplicity 4)  3 O 1.37-1.40
O (0.1004, 0.5870, 0.9131) (multiplicity 4)  1 B 1.39
O (0.1022, 0.5807, 0.6875) (multiplicity 4)  1 B 1.42
O (0.1388, 0.1133, 0.7914) (multiplicity 4)  1 B 1.39
O (0.3229, 0.1827, 0.1376) (multiplicity 4)  1 B 1.40
O (0.4388, 0.7246, 0.8784) (multiplicity 4)  1 B 1.39
O (0.4521, 0.7110, 0.1601) (multiplicity 4)  1 B 1.37

***

17.
Density functional theory data (PBE) for Na2BiBO4 after structural relaxation.

total magnetic moment	0.00	μB per cell
formation energy (no corrections)	-122	kJ per mole of atoms

Cell lengths 5.4443, 10.7131, 23.1187 Å; angles 90.00, 90.00, 90.00 degrees
Last column: nearest neighbours and their distance in Å.
Space group Fddd (No. 70, origin choice 2)
Symmetry-distinct sites (fractional):
Na (0.1250, 0.1250, 0.3356) (multiplicity 16)  2 O 2.49
Bi (0.1250, 0.1250, 0.1250) (multiplicity 8)  4 O 2.25
B (0.1250, 0.1250, 0.6250) (multiplicity 8)  4 O 1.52
O (0.0321, 0.2860, 0.8397) (multiplicity 32)  1 B 1.52

***

18.
Density functional theory data (PBE) for Na3BiBPO7 after structural relaxation.

total magnetic moment	0.00	μB per cell
formation energy (no corrections)	-197	kJ per mole of atoms
density of states at the Fermi level	0.00	states/eV/f.u.

Cell lengths 5.3850, 7.0896, 9.4133 Å; angles 90.00, 91.10, 90.00 degrees
Last column: nearest neighbours and their distance in Å.
Space group P2_1/m (No. 11)
Symmetry-distinct sites (fractional):
Na (0.2394, 0.2500, 0.4380) (multiplicity 2)  6 O 2.49-2.76
Na (0.2482, 0.5098, 0.7365) (multiplicity 4)  5 O 2.31-2.51
Bi (0.2270, 0.7500, 0.1425) (multiplicity 2)  5 O 2.24-2.45
B (0.2613, 0.7500, 0.4295) (multiplicity 2)  3 O 1.34-1.42
P (0.2822, 0.2500, 0.1002) (multiplicity 2)  4 O 1.54-1.57
O (0.0329, 0.7500, 0.3508) (multiplicity 2)  1 B 1.42
O (0.1710, 0.0764, 0.1796) (multiplicity 4)  1 P 1.57
O (0.2075, 0.2500, 0.9383) (multiplicity 2)  1 P 1.57
O (0.2734, 0.7500, 0.5720) (multiplicity 2)  1 B 1.34
O (0.4320, 0.7500, 0.8869) (multiplicity 2)  1 P 1.54
O (0.4743, 0.7500, 0.3431) (multiplicity 2)  1 B 1.42

***

19.
Density functional theory data (PBE) for Na4Bi2B4SO16 after structural relaxation.

total magnetic moment	1.77	μB per cell
formation energy (no corrections)	-168	kJ per mole of atoms
density of states at the Fermi level	10.17	states/eV/f.u.

Cell lengths 14.1958, 14.3377, 14.8787 Å; angles 90.00, 90.00, 90.00 degrees
Last column: nearest neighbours and their distance in Å.
Space group Fddd (No. 70, origin choice 2)
Symmetry-distinct sites (fractional):
Na (0.0789, 0.3750, 0.3750) (multiplicity 16)  4 O 2.36-2.45
Na (0.1250, 0.3285, 0.1250) (multiplicity 16)  6 O 2.37-2.55
Bi (0.0000, 0.0000, 0.5000) (multiplicity 16)  6 O 2.16-2.18
B (0.0318, 0.0334, 0.7112) (multiplicity 32)  3 O 1.38-1.39
S (0.1250, 0.1250, 0.1250) (multiplicity 8)  4 O 1.50
O (0.0195, 0.1025, 0.7754) (multiplicity 32)  1 B 1.39
O (0.0298, 0.2779, 0.8897) (multiplicity 32)  1 B 1.38
O (0.0634, 0.0638, 0.0684) (multiplicity 32)  1 S 1.50
O (0.1026, 0.2825, 0.5270) (multiplicity 32)  1 B 1.39

***

20.
Density functional theory data (PBE) for Na2BiBSO7 after structural relaxation.

total magnetic moment	0.12	μB per cell
formation energy (no corrections)	-169	kJ per mole of atoms
density of states at the Fermi level	0.00	states/eV/f.u.

Cell lengths 5.4083, 7.0553, 9.9501 Å; angles 90.00, 90.08, 90.00 degrees
Last column: nearest neighbours and their distance in Å.
Space group P2_1/m (No. 11)
Symmetry-distinct sites (fractional):
Na (0.2329, 0.0077, 0.3280) (multiplicity 4)  3 O 2.25-2.42
Bi (0.2899, 0.2500, 0.8714) (multiplicity 2)  4 O 2.15-2.39
B (0.2686, 0.2500, 0.6058) (multiplicity 2)  3 O 1.31-1.45
S (0.2177, 0.7500, 0.8868) (multiplicity 2)  4 O 1.47-1.51
O (0.0308, 0.2500, 0.1737) (multiplicity 2)  1 S 1.47
O (0.0580, 0.2500, 0.6954) (multiplicity 2)  1 B 1.45
O (0.1996, 0.7500, 0.0373) (multiplicity 2)  1 S 1.50
O (0.2553, 0.2500, 0.4741) (multiplicity 2)  1 B 1.31
O (0.3664, 0.5810, 0.8422) (multiplicity 4)  1 S 1.51
O (0.4920, 0.2500, 0.6846) (multiplicity 2)  1 B 1.44